No. 1
The following is a DFT calculation (PBE-GGA) of crystalline CeHf2Al at its relaxed geometry.

Computed properties:
formation energy from the elements = -0.092 eV/atom
uncorrected energy = -29.949 eV per cell
offset from the most stable computed form = 11 meV per atom
SG = P4/mmm

a b c (Å): 3.0654 3.0654 9.3015
angles (deg): 90.00 90.00 90.00
Element x y z (fractional)
Hf (0.0000, 0.0000, 0.2151)
Al (0.5000, 0.5000, 0.0000)
Ce (0.5000, 0.5000, 0.5000)
Hf (0.0000, 0.0000, 0.7849)

=====

No. 2
The following is a DFT calculation (PBE-GGA) of crystalline CeHf2Al6 at its relaxed geometry.

Computed properties:
formation energy from the elements = -0.223 eV/atom
uncorrected energy = -50.306 eV per cell
SG = Immm

a b c (Å): 4.2588 7.6330 7.6330
angles (deg): 53.88 73.80 73.80
Last column: magnetic moment on the atom in μB.
Element x y z (fractional)
Al (0.3090, 0.3992, 0.9828)  0.00
Al (0.5000, 0.6818, 0.3182)  0.00
Al (0.5000, 0.3182, 0.6818)  0.00
Ce (0.0000, 0.0000, 0.0000)  0.73
Al (0.6910, 0.0172, 0.6008)  0.00
Hf (0.1169, 0.3831, 0.3831)  0.01
Al (0.3090, 0.9828, 0.3992)  0.00
Hf (0.8831, 0.6169, 0.6169)  0.01
Al (0.6910, 0.6008, 0.0172)  0.00

=====

No. 3
The following is a DFT calculation (PBE-GGA) of crystalline CeHf2Al9 at its relaxed geometry.

Computed properties:
formation energy from the elements = -0.372 eV/atom
uncorrected energy = -63.989 eV per cell
SG = P4/mmm

a b c (Å): 4.1739 4.1739 12.4918
angles (deg): 90.00 90.00 90.00
Element x y z (fractional)
Al (0.0000, 0.5000, 0.5000)
Hf (0.0000, 0.0000, 0.3384)
Al (0.5000, 0.0000, 0.5000)
Al (0.5000, 0.5000, 0.6631)
Al (0.0000, 0.5000, 0.1757)
Ce (0.0000, 0.0000, 0.0000)
Al (0.5000, 0.5000, 0.3369)
Al (0.5000, 0.5000, 0.0000)
Al (0.0000, 0.5000, 0.8243)
Al (0.5000, 0.0000, 0.8243)
Hf (0.0000, 0.0000, 0.6616)
Al (0.5000, 0.0000, 0.1757)

=====

No. 4
The following is a DFT calculation (PBE-GGA) of crystalline Ce2HfAlN4 at its relaxed geometry.

Computed properties:
ΔE_f (raw) = -957 meV/atom
uncorrected energy = -66.524 eV per cell
SG = I-42m

a b c (Å): 5.7353 5.2035 5.2035
angles (deg): 72.32 56.56 56.56
Last column: magnetic moment on the atom in μB.
Element x y z (fractional)
Ce (0.5000, 0.5000, 0.5000)  0.79
N (0.8915, 0.0000, 0.6646)  -0.02
Al (0.5000, 0.0000, 0.0000)  0.00
N (0.4438, 0.6646, 0.0000)  -0.02
N (0.5562, 0.0000, 0.3354)  -0.02
N (0.1085, 0.3354, 0.0000)  -0.02
Hf (0.0000, 0.0000, 0.0000)  0.19
Ce (0.0000, 0.5000, 0.5000)  0.79

=====

No. 5
The following is a DFT calculation (PBE-GGA) of crystalline CeHfAlO6 at its relaxed geometry.

Computed properties:
ΔE_f (raw) = -2947 meV/atom
uncorrected energy = -75.902 eV per cell
SG = P312

a b c (Å): 4.8182 5.2381 5.2381
angles (deg): 120.00 90.00 90.00
Last column: magnetic moment on the atom in μB.
Element x y z (fractional)
Ce (0.0000, 0.3333, 0.6667)  -0.04
O (0.7226, 0.3118, 0.0099)  0.15
O (0.2774, 0.9901, 0.6882)  0.15
O (0.7226, 0.9901, 0.3019)  0.15
O (0.7226, 0.6981, 0.6882)  0.15
O (0.2774, 0.6981, 0.0099)  0.15
Al (0.5000, 0.0000, 0.0000)  -0.01
Hf (0.5000, 0.6667, 0.3333)  -0.02
O (0.2774, 0.3118, 0.3019)  0.15

=====

No. 6
The following is a DFT calculation (PBE-GGA) of crystalline Ce2HfAlO6 at its relaxed geometry.

Computed properties:
ΔE_f (raw) = -3094 meV/atom
uncorrected energy = -86.254 eV per cell
SG = P4/mmm

a b c (Å): 4.0298 4.0298 7.7971
angles (deg): 90.00 90.00 90.00
Last column: magnetic moment on the atom in μB.
Element x y z (fractional)
Ce (0.0000, 0.0000, 0.7226)  1.29
O (0.5000, 0.0000, 0.5000)  -0.01
O (0.5000, 0.5000, 0.7346)  -0.01
O (0.0000, 0.5000, 0.0000)  -0.01
Hf (0.5000, 0.5000, 0.0000)  0.06
Al (0.5000, 0.5000, 0.5000)  0.00
O (0.0000, 0.5000, 0.5000)  -0.01
Ce (0.0000, 0.0000, 0.2774)  1.29
O (0.5000, 0.5000, 0.2654)  -0.01
O (0.5000, 0.0000, 0.0000)  -0.01